1.
VASP calculation (GGA-PBE) on RbTl3Pd after structural relaxation.

Properties
The value obtained for the total moment is 0.00 μB/f.u. For the energy relative to the lowest polymorph listed for this composition, the calculation gives 0.009 eV/atom. For the formation energy from the elements, the calculation gives -48.0 kJ/mol of formula units. Its space group is P2_1/m, No. 11. The total energy comes out at -27.5 eV/cell.

Cell lengths 7.6536, 5.8038, 7.6620 Å; angles 90.00, 114.07, 90.00 degrees
Closest atoms and distances in Å follow each position.
Fractional positions:
1 Rb 0.1158 0.2500 0.3849  10 Tl 3.72-3.87, 2 Rb 4.15
2 Rb 0.8842 0.7500 0.6151  10 Tl 3.72-3.87, 2 Rb 4.15
3 Tl 0.1516 0.2500 0.9038  2 Pd 2.86
4 Tl 0.3079 0.7500 0.1926  2 Pd 2.87
5 Tl 0.4040 0.7500 0.6530  2 Pd 2.85
6 Tl 0.5960 0.2500 0.3470  2 Pd 2.85
7 Tl 0.6921 0.2500 0.8074  2 Pd 2.87
8 Tl 0.8484 0.7500 0.0962  2 Pd 2.86
9 Pd 0.5000 0.0000 0.0000  6 Tl 2.85-2.87, 2 Pd 2.90
10 Pd 0.5000 0.5000 0.0000  6 Tl 2.85-2.87, 2 Pd 2.90

=====

2.
VASP calculation (GGA-PBE) on Rb5Tl6Pd after structural relaxation.

Properties
The value obtained for the total moment is 0.00 μB/f.u. For the formation energy from the elements, the calculation gives -59.3 kJ/mol of formula units. Its space group is C2/m, No. 12. The total energy comes out at -24.8 eV/cell.

Cell lengths 9.0351, 9.0351, 9.2816 Å; angles 99.14, 99.14, 130.56 degrees
Closest atoms and distances in Å follow each position.
Fractional positions:
1 Rb 0.0000 0.0000 0.0000  6 Tl 3.76-4.03
2 Rb 0.2833 0.7167 0.0000  6 Tl 3.65-3.94, 2 Rb 3.93
3 Rb 0.3669 0.6331 0.5000  8 Tl 3.93-4.15, 2 Pd 4.36, 1 Rb 4.37
4 Rb 0.6331 0.3669 0.5000  8 Tl 3.93-4.15, 2 Pd 4.36, 1 Rb 4.37
5 Rb 0.7167 0.2833 0.0000  6 Tl 3.65-3.94, 2 Rb 3.93
6 Tl 0.0726 0.7800 0.3214  1 Pd 2.85, 2 Tl 3.07-3.14
7 Tl 0.2200 0.9274 0.6786  1 Pd 2.85, 2 Tl 3.07-3.14
8 Tl 0.3569 0.3569 0.8076  1 Pd 3.09, 3 Tl 3.14-3.40
9 Tl 0.6431 0.6431 0.1924  1 Pd 3.09, 3 Tl 3.14-3.40
10 Tl 0.7800 0.0726 0.3214  1 Pd 2.85, 2 Tl 3.07-3.14
11 Tl 0.9274 0.2200 0.6786  1 Pd 2.85, 2 Tl 3.07-3.14
12 Pd 0.0000 0.0000 0.5000  6 Tl 2.85-3.09

=====

3.
VASP calculation (GGA-PBE) on Rb5Tl2Pd after structural relaxation.

Properties
The value obtained for the total moment is 0.00 μB/f.u. For the formation energy from the elements, the calculation gives -39.2 kJ/mol of formula units. Its space group is Cmcm, No. 63. The total energy comes out at -30.3 eV/cell.

Cell lengths 9.2514, 9.2514, 21.3843 Å; angles 90.00, 90.00, 150.75 degrees
Closest atoms and distances in Å follow each position.
Fractional positions:
1 Rb 0.0841 0.9159 0.7500  1 Pd 3.21
2 Rb 0.1536 0.8464 0.5535  2 Tl 3.84
3 Rb 0.1536 0.8464 0.9465  2 Tl 3.84
4 Rb 0.4018 0.5982 0.6358  1 Pd 3.48, 2 Tl 3.75
5 Rb 0.4018 0.5982 0.8642  1 Pd 3.48, 2 Tl 3.75
6 Rb 0.5982 0.4018 0.1358  1 Pd 3.48, 2 Tl 3.75
7 Rb 0.5982 0.4018 0.3642  1 Pd 3.48, 2 Tl 3.75
8 Rb 0.8464 0.1536 0.0535  2 Tl 3.84
9 Rb 0.8464 0.1536 0.4465  2 Tl 3.84
10 Rb 0.9159 0.0841 0.2500  1 Pd 3.21
11 Tl 0.2557 0.7443 0.1740  2 Pd 2.87
12 Tl 0.2557 0.7443 0.3260  2 Pd 2.87
13 Tl 0.7443 0.2557 0.6740  2 Pd 2.87
14 Tl 0.7443 0.2557 0.8260  2 Pd 2.87
15 Pd 0.2636 0.7364 0.7500  4 Tl 2.87
16 Pd 0.7364 0.2636 0.2500  4 Tl 2.87

=====

4.
VASP calculation (GGA-PBE) on Rb3Tl2Pd after structural relaxation.

Properties
The value obtained for the total moment is 0.00 μB/f.u. For the formation energy from the elements, the calculation gives -20.9 kJ/mol of formula units. Its space group is Cmcm, No. 63. The total energy comes out at -26.1 eV/cell.

Cell lengths 7.9999, 7.9999, 7.8789 Å; angles 90.00, 90.00, 97.82 degrees
Closest atoms and distances in Å follow each position.
Fractional positions:
1 Rb 0.0409 0.5859 0.2500  1 Pd 3.63, 4 Tl 3.77-3.85, 2 Rb 3.91-3.92
2 Rb 0.0983 0.9017 0.7500  1 Pd 3.62, 2 Rb 3.91
3 Rb 0.4141 0.9591 0.2500  1 Pd 3.63, 4 Tl 3.77-3.85, 2 Rb 3.91-3.92
4 Rb 0.5859 0.0409 0.7500  1 Pd 3.63, 4 Tl 3.77-3.85, 2 Rb 3.91-3.92
5 Rb 0.9017 0.0983 0.2500  1 Pd 3.62, 2 Rb 3.91
6 Rb 0.9591 0.4141 0.7500  1 Pd 3.63, 4 Tl 3.77-3.85, 2 Rb 3.91-3.92
7 Tl 0.3457 0.3457 0.0000  2 Pd 2.83
8 Tl 0.3457 0.3457 0.5000  2 Pd 2.83
9 Tl 0.6543 0.6543 0.0000  2 Pd 2.83
10 Tl 0.6543 0.6543 0.5000  2 Pd 2.83
11 Pd 0.3985 0.6015 0.7500  4 Tl 2.83
12 Pd 0.6015 0.3985 0.2500  4 Tl 2.83

=====

5.
VASP calculation (GGA-PBE) on RbTl6Pd4 after structural relaxation.

Properties
The value obtained for the total moment is 0.00 μB/f.u. For the formation energy from the elements, the calculation gives -169.0 kJ/mol of formula units. Its space group is I-42m, No. 121. The total energy comes out at -37.7 eV/cell.

Cell lengths 7.3569, 7.3569, 7.3569 Å; angles 120.37, 120.37, 89.37 degrees
Closest atoms and distances in Å follow each position.
Fractional positions:
1 Rb 0.0000 0.0000 0.0000  12 Tl 3.62-3.89, 4 Pd 3.64
2 Tl 0.0000 0.5000 0.5000  4 Pd 2.88
3 Tl 0.1048 0.1048 0.6249  4 Pd 2.74-3.02
4 Tl 0.4799 0.4799 0.3751  4 Pd 2.74-3.02
5 Tl 0.5000 0.0000 0.5000  4 Pd 2.88
6 Tl 0.5201 0.8952 0.0000  4 Pd 2.74-3.02
7 Tl 0.8952 0.5201 0.0000  4 Pd 2.74-3.02
8 Pd 0.2623 0.5782 0.0000  6 Tl 2.74-3.02, 2 Pd 2.85
9 Pd 0.4218 0.4218 0.6841  6 Tl 2.74-3.02, 2 Pd 2.85
10 Pd 0.5782 0.2623 0.0000  6 Tl 2.74-3.02, 2 Pd 2.85
11 Pd 0.7377 0.7377 0.3159  6 Tl 2.74-3.02, 2 Pd 2.85

=====

6.
VASP calculation (GGA-PBE) on Rb3Tl4Pd4 after structural relaxation.

Properties
The value obtained for the total moment is 0.00 μB/f.u. For the formation energy from the elements, the calculation gives -179.0 kJ/mol of formula units. Its space group is I-43m, No. 217. The total energy comes out at -35.0 eV/cell.

Cell lengths 7.4689, 7.4689, 7.4689 Å; angles 109.47, 109.47, 109.47 degrees
Closest atoms and distances in Å follow each position.
Fractional positions:
1 Rb 0.0000 0.5000 0.5000  4 Tl 3.55, 4 Pd 3.59
2 Rb 0.5000 0.0000 0.5000  4 Tl 3.55, 4 Pd 3.59
3 Rb 0.5000 0.5000 0.0000  4 Tl 3.55, 4 Pd 3.59
4 Tl 0.0000 0.0000 0.6041  4 Pd 2.75-2.89
5 Tl 0.0000 0.6041 0.0000  4 Pd 2.75-2.89
6 Tl 0.3959 0.3959 0.3959  4 Pd 2.75-2.89
7 Tl 0.6041 0.0000 0.0000  4 Pd 2.75-2.89
8 Pd 0.0000 0.0000 0.2361  4 Tl 2.75-2.89, 3 Pd 2.88
9 Pd 0.0000 0.2361 0.0000  4 Tl 2.75-2.89, 3 Pd 2.88
10 Pd 0.2361 0.0000 0.0000  4 Tl 2.75-2.89, 3 Pd 2.88
11 Pd 0.7639 0.7639 0.7639  4 Tl 2.75-2.89, 3 Pd 2.88

=====

7.
VASP calculation (GGA-PBE) on RbTl4Pd2 after structural relaxation.

Properties
The value obtained for the total moment is 0.00 μB/f.u. For the energy relative to the lowest polymorph listed for this composition, the calculation gives 0.061 eV/atom. For the formation energy from the elements, the calculation gives 2.9 kJ/mol of formula units. Its space group is C2/m, No. 12. The total energy comes out at -41.6 eV/cell.

Cell lengths 8.6362, 10.9276, 5.5793 Å; angles 90.00, 130.22, 90.00 degrees
Closest atoms and distances in Å follow each position.
Fractional positions:
1 Rb 0.0000 0.0000 0.0000  4 Pd 3.56-3.57, 12 Tl 3.76-3.92
2 Rb 0.5000 0.5000 0.0000  4 Pd 3.56-3.57, 12 Tl 3.76-3.92
3 Tl 0.2486 0.1748 0.7490  2 Pd 2.90-2.91, 2 Tl 3.23-3.24
4 Tl 0.2486 0.8252 0.7490  2 Pd 2.90-2.91, 2 Tl 3.23-3.24
5 Tl 0.2514 0.3252 0.2510  2 Pd 2.90-2.91, 2 Tl 3.23-3.24
6 Tl 0.2514 0.6748 0.2510  2 Pd 2.90-2.91, 2 Tl 3.23-3.24
7 Tl 0.7486 0.3252 0.7490  2 Pd 2.90-2.91, 2 Tl 3.23-3.24
8 Tl 0.7486 0.6748 0.7490  2 Pd 2.90-2.91, 2 Tl 3.23-3.24
9 Tl 0.7514 0.1748 0.2510  2 Pd 2.90-2.91, 2 Tl 3.23-3.24
10 Tl 0.7514 0.8252 0.2510  2 Pd 2.90-2.91, 2 Tl 3.23-3.24
11 Pd 0.0008 0.5000 0.2572  2 Pd 2.72-2.86, 4 Tl 2.90-2.91
12 Pd 0.4992 0.0000 0.7428  2 Pd 2.72-2.86, 4 Tl 2.90-2.91
13 Pd 0.5008 0.0000 0.2572  2 Pd 2.72-2.86, 4 Tl 2.90-2.91
14 Pd 0.9992 0.5000 0.7428  2 Pd 2.72-2.86, 4 Tl 2.90-2.91

=====

8.
VASP calculation (GGA-PBE) on RbTl2Pd after structural relaxation.

Properties
The value obtained for the total moment is 0.00 μB/f.u. For the formation energy from the elements, the calculation gives -39.8 kJ/mol of formula units. Its space group is P4/mmm, No. 123. The total energy comes out at -11.3 eV/cell.

Cell lengths 3.5873, 3.5873, 8.7484 Å; angles 90.00, 90.00, 90.00 degrees
Closest atoms and distances in Å follow each position.
Fractional positions:
1 Rb 0.0000 0.0000 0.0000  4 Rb 3.59, 8 Tl 3.76
2 Tl 0.5000 0.5000 0.3177  4 Pd 3.00, 1 Tl 3.19
3 Tl 0.5000 0.5000 0.6823  4 Pd 3.00, 1 Tl 3.19
4 Pd 0.0000 0.0000 0.5000  8 Tl 3.00

=====

9.
VASP calculation (GGA-PBE) on Rb2Tl4Pd after structural relaxation.

Properties
The value obtained for the total moment is 0.00 μB/f.u. For the formation energy from the elements, the calculation gives -18.7 kJ/mol of formula units. Its space group is I4/mmm, No. 139. The total energy comes out at -33.6 eV/cell.

Cell lengths 5.4273, 5.4273, 19.0953 Å; angles 90.00, 90.00, 90.00 degrees
Closest atoms and distances in Å follow each position.
Fractional positions:
1 Rb 0.0000 0.0000 0.1576  9 Tl 3.79-4.05
2 Rb 0.0000 0.0000 0.8424  9 Tl 3.79-4.05
3 Rb 0.5000 0.5000 0.3424  9 Tl 3.79-4.05
4 Rb 0.5000 0.5000 0.6576  9 Tl 3.79-4.05
5 Tl 0.0000 0.0000 0.3558  1 Pd 2.75
6 Tl 0.0000 0.0000 0.6442  1 Pd 2.75
7 Tl 0.0000 0.5000 0.0000  2 Pd 2.71
8 Tl 0.0000 0.5000 0.5000  2 Pd 2.71
9 Tl 0.5000 0.0000 0.0000  2 Pd 2.71
10 Tl 0.5000 0.0000 0.5000  2 Pd 2.71
11 Tl 0.5000 0.5000 0.1442  1 Pd 2.75
12 Tl 0.5000 0.5000 0.8558  1 Pd 2.75
13 Pd 0.0000 0.0000 0.5000  6 Tl 2.71-2.75
14 Pd 0.5000 0.5000 0.0000  6 Tl 2.71-2.75

=====

10.
VASP calculation (GGA-PBE) on RbTlPd3 after structural relaxation.

Properties
The value obtained for the total moment is 0.00 μB/f.u. For the energy relative to the lowest polymorph listed for this composition, the calculation gives 0.000 eV/atom. For the formation energy from the elements, the calculation gives 188.1 kJ/mol of formula units. Its space group is Pm-3m, No. 221. The total energy comes out at -17.0 eV/cell.

Cell lengths 5.2271, 5.2271, 5.2271 Å; angles 90.00, 90.00, 90.00 degrees
Closest atoms and distances in Å follow each position.
Fractional positions:
1 Rb 0.0000 0.0000 0.0000  12 Pd 3.70
2 Tl 0.5000 0.5000 0.5000  6 Pd 2.61
3 Pd 0.0000 0.5000 0.5000  2 Tl 2.61
4 Pd 0.5000 0.0000 0.5000  2 Tl 2.61
5 Pd 0.5000 0.5000 0.0000  2 Tl 2.61

=====

11.
VASP calculation (GGA-PBE) on Rb2TlPd after structural relaxation.

Properties
The value obtained for the total moment is 0.00 μB/f.u. For the energy relative to the lowest polymorph listed for this composition, the calculation gives 0.000 eV/atom. For the formation energy from the elements, the calculation gives -38.5 kJ/mol of formula units. Its space group is Cm, No. 8. The total energy comes out at -19.8 eV/cell.

Cell lengths 8.3158, 4.7867, 9.7638 Å; angles 90.00, 106.12, 90.00 degrees
Closest atoms and distances in Å follow each position.
Fractional positions:
1 Rb 0.0000 0.0000 0.0000  3 Pd 3.73, 3 Tl 3.73-3.74
2 Rb 0.1735 0.0000 0.5334  3 Pd 3.73-3.74, 3 Tl 3.73
3 Rb 0.5000 0.5000 0.0000  3 Pd 3.73, 3 Tl 3.73-3.74
4 Rb 0.6735 0.5000 0.5334  3 Pd 3.73-3.74, 3 Tl 3.73
5 Tl 0.2534 0.5000 0.2667  3 Pd 2.77
6 Tl 0.7534 0.0000 0.2667  3 Pd 2.77
7 Pd 0.4203 0.0000 0.2664  3 Tl 2.77
8 Pd 0.9203 0.5000 0.2664  3 Tl 2.77

=====

12.
VASP calculation (GGA-PBE) on RbTlPd3 after structural relaxation.

Properties
The value obtained for the total moment is 0.00 μB/f.u. For the energy relative to the lowest polymorph listed for this composition, the calculation gives 0.770 eV/atom. For the formation energy from the elements, the calculation gives 559.6 kJ/mol of formula units. Its space group is Pm-3m, No. 221. The total energy comes out at -13.1 eV/cell.

Cell lengths 5.2429, 5.2429, 5.2429 Å; angles 90.00, 90.00, 90.00 degrees
Closest atoms and distances in Å follow each position.
Fractional positions:
1 Rb 0.0000 0.0000 0.0000  6 Pd 2.62
2 Tl 0.5000 0.5000 0.5000  12 Pd 3.71
3 Pd 0.0000 0.0000 0.5000  2 Rb 2.62
4 Pd 0.0000 0.5000 0.0000  2 Rb 2.62
5 Pd 0.5000 0.0000 0.0000  2 Rb 2.62